1.
## RePbO3 (PBE-GGA)

Data for a relaxed structure of RePbO3.

It has space group Pnma (No. 62), with a = 5.0859 Å, b = 8.4970 Å, c = 6.5512 Å, α = 90.00°, β = 90.00° and γ = 90.00°. The asymmetric unit holds Re at (0.0555, 0.2500, 0.0274), Pb at (0.0000, 0.0000, 0.5000), O at (0.0591, 0.5938, 0.1428) and O at (0.2385, 0.2500, 0.2966).



2.
## LuIrNO (PBE-GGA)

Data for a relaxed structure of LuIrNO.

It has space group P4/nmm (No. 129, origin choice 2), with a = 4.8006 Å, b = 4.8006 Å, c = 4.2301 Å, α = 90.00°, β = 90.00° and γ = 90.00°. The asymmetric unit holds Lu at (0.2500, 0.7500, 0.0000), Ir at (0.2500, 0.2500, 0.4963), N at (0.2500, 0.2500, 0.9958) and O at (0.2500, 0.7500, 0.5000).



3.
## NaYCoS3 (PBE-GGA)

Data for a relaxed structure of NaYCoS3.

It has space group Cmcm (No. 63), with a = 3.8534 Å, b = 12.7677 Å, c = 10.4492 Å, α = 90.00°, β = 90.00° and γ = 90.00°. The asymmetric unit holds Na at (0.0000, 0.2483, 0.2500), Y at (0.0000, 0.0000, 0.0000), Co at (0.0000, 0.4712, 0.7500), S at (0.0000, 0.0747, 0.7500) and S at (0.0000, 0.3651, 0.5786).



4.
## HoTmGaC (PBE-GGA)

Data for a relaxed structure of HoTmGaC.

It has space group P-6m2 (No. 187), with a = 3.5328 Å, b = 3.5328 Å, c = 15.3869 Å, α = 90.00°, β = 90.00° and γ = 120.00°. The asymmetric unit holds Ho at (0.0000, 0.0000, 0.1642), Tm at (0.3333, 0.6667, 0.3389), Ga at (0.0000, 0.0000, 0.5000), Ga at (0.3333, 0.6667, 0.0000) and C at (0.6667, 0.3333, 0.2513).



The calculation returns the following total magnetic moment values, one per record and in order: 0.01 0.04 2.99 0.26 μB per formula unit.
The calculation returns the following electronic total energy values, one per record and in order: -0.259 -0.277 -0.211 -0.210 hartree per atom.